[1]
Computed, not measured: a relaxed structure of Dy2Cd5Cu at the PBE level of DFT.

Calculated values
crystal system	trigonal
energy relative to the elements	-4.8	kJ/mol of atoms

Cell lengths 4.683, 4.683, 10.829 Å; angles 77.51, 77.51, 60.00 degrees
Element x y z (fractional)
Dy 0.087 0.087 0.738
Dy 0.913 0.913 0.262
Cd 0.500 0.500 0.500
Cd 0.356 0.356 0.933
Cd 0.644 0.644 0.067
Cd 0.198 0.198 0.407
Cd 0.802 0.802 0.593
Cu 0.000 0.000 0.000

=====

[2]
Computed, not measured: a relaxed structure of Rb3U2SnS9 at the PBE level of DFT.

Calculated values
crystal system	trigonal
uncorrected formation energy	-1.08	eV per atom

Cell lengths 7.308, 7.308, 8.997 Å; angles 90.00, 90.00, 120.00 degrees
Element x y z (fractional)
Rb 0.333 0.667 0.665
Rb 0.000 0.000 0.000
Rb 0.667 0.333 0.335
U 0.333 0.667 0.171
U 0.667 0.333 0.829
Sn 0.000 0.000 0.500
S 0.831 0.169 0.675
S 0.831 0.662 0.675
S 0.338 0.169 0.675
S 0.662 0.831 0.325
S 0.169 0.338 0.325
S 0.169 0.831 0.325
S 0.500 0.000 0.000
S 0.000 0.500 0.000
S 0.500 0.500 0.000

=====

[3]
Computed, not measured: a relaxed structure of FeIr6Os3 at the PBE level of DFT.

Calculated values
crystal system	monoclinic
energy relative to the elements	15.4	kJ/mol of atoms

Cell lengths 2.726, 9.886, 11.046 Å; angles 101.12, 90.00, 90.00 degrees
Last column: magnetic moment on the atom in μB.
Element x y z (fractional)
Fe 0.750 0.039 0.723  2.65
Fe 0.250 0.961 0.277  2.65
Ir 0.750 0.490 0.692  -0.13
Ir 0.250 0.510 0.308  -0.13
Ir 0.750 0.807 0.071  -0.01
Ir 0.250 0.193 0.929  -0.01
Ir 0.750 0.347 0.128  -0.04
Ir 0.250 0.653 0.872  -0.04
Ir 0.750 0.743 0.302  -0.03
Ir 0.250 0.257 0.698  -0.03
Ir 0.750 0.121 0.481  0.03
Ir 0.250 0.879 0.519  0.03
Ir 0.750 0.782 0.711  -0.01
Ir 0.250 0.218 0.289  -0.01
Os 0.750 0.423 0.909  -0.01
Os 0.250 0.577 0.091  -0.01
Os 0.750 0.618 0.501  -0.03
Os 0.250 0.382 0.499  -0.03
Os 0.750 0.076 0.092  -0.06
Os 0.250 0.924 0.908  -0.06

=====

[4]
Computed, not measured: a relaxed structure of Sr3Si4Pd2 at the PBE level of DFT.

Calculated values
crystal system	monoclinic
uncorrected formation energy	-0.66	eV per atom

Cell lengths 4.017, 6.356, 8.829 Å; angles 95.68, 90.00, 108.42 degrees
Element x y z (fractional)
Sr 0.669 0.338 0.666
Sr 0.000 0.000 0.000
Sr 0.331 0.662 0.334
Si 0.720 0.440 0.061
Si 0.280 0.560 0.939
Si 0.949 0.897 0.609
Si 0.051 0.103 0.391
Pd 0.609 0.218 0.278
Pd 0.391 0.782 0.722

=====

[5]
Computed, not measured: a relaxed structure of In7Ga4 at the PBE level of DFT.

Calculated values
crystal system	hexagonal
energy relative to the elements	6.1	kJ/mol of atoms

Cell lengths 4.471, 8.481, 8.481 Å; angles 120.00, 90.00, 90.00 degrees
Element x y z (fractional)
In 0.000 0.942 0.471
In 0.500 0.186 0.373
In 0.000 0.529 0.471
In 0.000 0.529 0.058
In 0.500 0.186 0.814
In 0.500 0.627 0.814
In 0.000 0.000 0.000
Ga 0.500 0.426 0.213
Ga 0.500 0.787 0.574
Ga 0.500 0.787 0.213
Ga 0.000 0.333 0.667

=====

[6]
Computed, not measured: a relaxed structure of Cs2HF2 at the PBE level of DFT.

Calculated values
crystal system	orthorhombic
uncorrected energy	-3.33	eV/atom

Cell lengths 4.282, 7.134, 8.377 Å; angles 90.00, 90.00, 90.00 degrees
Last column: magnetic moment on the atom in μB.
Element x y z (fractional)
Cs 0.000 0.750 0.655  0.01
Cs 0.000 0.250 0.345  0.01
Cs 0.500 0.750 0.215  0.02
Cs 0.500 0.250 0.785  0.02
H 0.000 0.000 0.000  0.37
H 0.000 0.500 0.000  0.37
F 0.500 0.750 0.889  0.10
F 0.500 0.250 0.111  0.10
F 0.500 0.500 0.500  0.02
F 0.500 0.000 0.500  0.02

=====

Please write out number 4 again, unchanged.
Computed, not measured: a relaxed structure of Sr3Si4Pd2 at the PBE level of DFT.

Calculated values
crystal system	monoclinic
uncorrected formation energy	-0.66	eV per atom

Cell lengths 4.017, 6.356, 8.829 Å; angles 95.68, 90.00, 108.42 degrees
Element x y z (fractional)
Sr 0.669 0.338 0.666
Sr 0.000 0.000 0.000
Sr 0.331 0.662 0.334
Si 0.720 0.440 0.061
Si 0.280 0.560 0.939
Si 0.949 0.897 0.609
Si 0.051 0.103 0.391
Pd 0.609 0.218 0.278
Pd 0.391 0.782 0.722